(1)
Computed, not measured: a relaxed structure of ScAgO2 at the GGA-PBE level of DFT.

Summary:
* space-group type: No. 225
* DOS(E_F): 0.000 states/eV/atom
* VASP energy: -6.286 eV/atom

abc: 4.0127 4.0127 4.0127
angles: 60.00 60.00 60.00
Fractional positions:
1 Sc 0.0000 0.0000 0.0000
2 Ag 0.5000 0.5000 0.5000
3 O 0.2500 0.2500 0.2500
4 O 0.7500 0.7500 0.7500


(2)
Computed, not measured: a relaxed structure of ScAg3O at the GGA-PBE level of DFT.

Summary:
* space-group type: No. 221
* DOS(E_F): 2.812 states/eV/atom
* E above lowest polymorph: 1297.0 meV/atom

abc: 5.1870 5.1870 5.1870
angles: 90.00 90.00 90.00
Fractional positions:
1 Sc 0.0000 0.0000 0.0000
2 Ag 0.0000 0.0000 0.5000
3 Ag 0.0000 0.5000 0.0000
4 Ag 0.5000 0.0000 0.0000
5 O 0.5000 0.5000 0.5000


(3)
Computed, not measured: a relaxed structure of ScAg3O at the GGA-PBE level of DFT.

Summary:
* space-group type: No. 221
* DOS(E_F): 0.720 states/eV/atom
* E above lowest polymorph: 0.0 meV/atom

abc: 4.5205 4.5205 4.5205
angles: 90.00 90.00 90.00
Fractional positions:
1 Sc 0.0000 0.0000 0.0000
2 Ag 0.0000 0.5000 0.5000
3 Ag 0.5000 0.0000 0.5000
4 Ag 0.5000 0.5000 0.0000
5 O 0.5000 0.5000 0.5000